A plane-wave DFT calculation with GGA-PBEsol was carried out for an optimized crystal structure of RbSm2Ag3Se5.

Properties
- SG: Cmcm, No. 63
- E_form (uncorrected): -12.29 eV per formula unit

a = 7.817 Å, b = 7.817 Å, c = 17.249 Å
α = 90.00°, β = 90.00°, γ = 148.12°
Sites, in units of the cell vectors:
Rb: 0.063 0.937 0.750
Rb: 0.937 0.063 0.250
Sm: 0.190 0.810 0.095
Sm: 0.190 0.810 0.405
Sm: 0.810 0.190 0.595
Sm: 0.810 0.190 0.905
Ag: 0.338 0.662 0.750
Ag: 0.412 0.588 0.034
Ag: 0.412 0.588 0.466
Ag: 0.588 0.412 0.534
Ag: 0.588 0.412 0.966
Ag: 0.662 0.338 0.250
Se: 0.177 0.823 0.573
Se: 0.177 0.823 0.927
Se: 0.259 0.741 0.250
Se: 0.439 0.561 0.621
Se: 0.439 0.561 0.879
Se: 0.561 0.439 0.121
Se: 0.561 0.439 0.379
Se: 0.741 0.259 0.750
Se: 0.823 0.177 0.073
Se: 0.823 0.177 0.427

A plane-wave DFT calculation with GGA-PBEsol was carried out for an optimized crystal structure of RbSi2Ag.

Properties
- SG: I4_1/amd, No. 141
- E_form (uncorrected): 1.30 eV per formula unit

a = 9.459 Å, b = 9.459 Å, c = 9.459 Å
α = 149.65°, β = 149.65°, γ = 43.46°
Sites, in units of the cell vectors:
Rb: 0.375 0.625 0.750
Rb: 0.625 0.375 0.250
Si: 0.000 0.000 0.000
Si: 0.000 0.000 0.500
Si: 0.000 0.500 0.000
Si: 0.500 0.000 0.500
Ag: 0.125 0.875 0.250
Ag: 0.875 0.125 0.750

A plane-wave DFT calculation with GGA-PBEsol was carried out for an optimized crystal structure of RbSi2Ag.

Properties
- SG: Fm-3m, No. 225
- E_form (uncorrected): 3.07 eV per formula unit

a = 4.907 Å, b = 4.907 Å, c = 4.907 Å
α = 60.00°, β = 60.00°, γ = 60.00°
Sites, in units of the cell vectors:
Rb: 0.000 0.000 0.000
Si: 0.250 0.250 0.250
Si: 0.750 0.750 0.750
Ag: 0.500 0.500 0.500

A plane-wave DFT calculation with GGA-PBEsol was carried out for an optimized crystal structure of RbAgSn3.

Properties
- SG: Pm-3m, No. 221
- E_form: 1562.1 meV/atom

a = 5.852 Å, b = 5.852 Å, c = 5.852 Å
α = 90.00°, β = 90.00°, γ = 90.00°
Sites, in units of the cell vectors:
Rb: 0.000 0.000 0.000
Ag: 0.500 0.500 0.500
Sn: 0.000 0.000 0.500
Sn: 0.000 0.500 0.000
Sn: 0.500 0.000 0.000

A plane-wave DFT calculation with GGA-PBEsol was carried out for an optimized crystal structure of RbAgSnW2.

Properties
- SG: P4/mmm, No. 123
- E_form: 2465.8 meV/atom

a = 4.919 Å, b = 4.919 Å, c = 5.523 Å
α = 90.00°, β = 90.00°, γ = 90.00°
Sites, in units of the cell vectors:
Rb: 0.000 0.000 0.000
Ag: 0.000 0.000 0.500
Sn: 0.500 0.500 0.000
W: 0.000 0.500 0.500
W: 0.500 0.000 0.500

A plane-wave DFT calculation with GGA-PBEsol was carried out for an optimized crystal structure of RbSr3Ag.

Properties
- SG: Pm-3m, No. 221
- E_form: -27.8 meV/atom

a = 6.289 Å, b = 6.289 Å, c = 6.289 Å
α = 90.00°, β = 90.00°, γ = 90.00°
Sites, in units of the cell vectors:
Rb: 0.000 0.000 0.000
Sr: 0.000 0.500 0.500
Sr: 0.500 0.000 0.500
Sr: 0.500 0.500 0.000
Ag: 0.500 0.500 0.500

A plane-wave DFT calculation with GGA-PBEsol was carried out for an optimized crystal structure of RbTaAg2.

Properties
- SG: Fm-3m, No. 225
- E_form: 1330.5 meV/atom

a = 5.018 Å, b = 5.018 Å, c = 5.018 Å
α = 60.00°, β = 60.00°, γ = 60.00°
Sites, in units of the cell vectors:
Rb: 0.000 0.000 0.000
Ta: 0.500 0.500 0.500
Ag: 0.250 0.250 0.250
Ag: 0.750 0.750 0.750

A plane-wave DFT calculation with GGA-PBEsol was carried out for an optimized crystal structure of Rb3AgTe.

Properties
- SG: Pm-3m, No. 221
- E_form (uncorrected): -1.04 eV per formula unit

a = 6.230 Å, b = 6.230 Å, c = 6.230 Å
α = 90.00°, β = 90.00°, γ = 90.00°
Sites, in units of the cell vectors:
Rb: 0.000 0.000 0.500
Rb: 0.000 0.500 0.000
Rb: 0.500 0.000 0.000
Ag: 0.000 0.000 0.000
Te: 0.500 0.500 0.500

| no. | total magnetic moment (μB/cell) |
| --- | --- |
| 1 | 0.00 |
| 2 | 0.00 |
| 3 | 0.00 |
| 4 | 0.00 |
| 5 | 1.21 |
| 6 | 0.00 |
| 7 | 1.52 |
| 8 | 0.00 |